{"formula": "In2Ni3S2", "functional": "PBE-GGA", "state": "optimized geometry", "lattice": [[5.523, 0.006, 0.004], [2.849, 4.732, 0.004], [2.849, 1.612, 4.449]], "species": ["In", "In", "Ni", "Ni", "Ni", "S", "S"], "frac_coords": [[0.000, 0.000, 0.000], [0.500, 0.500, 0.500], [0.000, 0.000, 0.500], [0.500, 0.000, 0.000], [0.000, 0.500, 0.000], [0.724, 0.724, 0.724], [0.276, 0.276, 0.276]], "density_g_cm3": 6.72, "e_form_raw_ev_per_atom": -0.408}

{"formula": "InNiS", "functional": "PBE-GGA", "state": "optimized geometry", "lattice": [[-0.414, -3.700, 4.646], [-1.655, -4.401, -3.652], [5.704, -1.545, -0.723]], "species": ["S", "S", "S", "S", "In", "In", "In", "In", "Ni", "Ni", "Ni", "Ni"], "frac_coords": [[0.633, 0.633, 0.633], [0.867, 0.367, 0.133], [0.133, 0.867, 0.367], [0.367, 0.133, 0.867], [0.371, 0.371, 0.371], [0.129, 0.629, 0.871], [0.871, 0.129, 0.629], [0.629, 0.871, 0.129], [0.043, 0.043, 0.043], [0.457, 0.957, 0.543], [0.543, 0.457, 0.957], [0.957, 0.543, 0.457]], "density_g_cm3": 6.47, "e_form_raw_ev_per_atom": -0.272}

{"formula": "InNi3S", "functional": "PBE-GGA", "state": "optimized geometry", "lattice": [[4.675, 0.000, 0.000], [0.000, 4.675, 0.000], [0.000, 0.000, 4.675]], "species": ["Ni", "Ni", "Ni", "S", "In"], "frac_coords": [[0.000, 0.500, 0.000], [0.000, 0.000, 0.500], [0.500, 0.000, 0.000], [0.500, 0.500, 0.500], [0.000, 0.000, 0.000]], "density_g_cm3": 5.25, "e_form_raw_ev_per_atom": 1.348}

{"formula": "InNi3S", "functional": "PBE-GGA", "state": "optimized geometry", "lattice": [[5.282, 0.000, 0.000], [-2.641, 4.574, 0.000], [0.000, 0.000, 12.611]], "species": ["In", "In", "In", "In", "Ni", "Ni", "Ni", "Ni", "Ni", "Ni", "Ni", "Ni", "Ni", "Ni", "Ni", "Ni", "S", "S", "S", "S"], "frac_coords": [[0.333, 0.667, 0.250], [0.667, 0.333, 0.750], [0.000, 0.000, 0.500], [0.000, 0.000, 0.000], [0.162, 0.323, 0.750], [0.323, 0.162, 0.250], [0.838, 0.162, 0.250], [0.162, 0.838, 0.750], [0.677, 0.838, 0.750], [0.838, 0.677, 0.250], [0.500, 0.500, 0.500], [0.500, 0.000, 0.000], [0.500, 0.500, 0.000], [0.500, 0.000, 0.500], [0.000, 0.500, 0.500], [0.000, 0.500, 0.000], [0.667, 0.333, 0.122], [0.333, 0.667, 0.622], [0.333, 0.667, 0.878], [0.667, 0.333, 0.378]], "density_g_cm3": 7.04, "e_form_raw_ev_per_atom": -0.034}